# GGA-PBE Ga3CoC, optimized geometry
data_Ga3CoC
_space_group_name_H-M_alt 'P 1'
_space_group_IT_number 1
_space_group_name_Hall 'P 1'
_cell_length_a 4.519
_cell_length_b 4.519
_cell_length_c 4.519
_cell_angle_alpha 90.00
_cell_angle_beta 90.00
_cell_angle_gamma 90.00
loop_
_atom_site_label
_atom_site_type_symbol
_atom_site_fract_x
_atom_site_fract_y
_atom_site_fract_z
Ga1 Ga 0.000 0.000 0.500
Ga2 Ga 0.000 0.500 0.000
Ga3 Ga 0.500 0.000 0.000
Co1 Co 0.000 0.000 0.000
C1 C 0.500 0.500 0.500
# - Polymorph energy (0 for the lowest one): 0.1737 eV/atom
# - E_form: 1.09 eV/atom